Below is a geometry-optimized Tl2Pb13 structure, with properties calculated at the PBE level.

Properties
- calculated total energy (eV per cell) = -50.73
- V (Å³/atom) = 40.19
- total magnetic moment (μB/f.u.) = 0.00
- DFT formation energy (meV per atom) = 147

Cell lengths 9.0937, 9.0937, 9.9205 Å; angles 62.72, 62.72, 60.00 degrees
Fractional coordinates of all 15 atoms:
1 Pb 0.4836 0.8530 0.1798
2 Pb 0.7293 0.1111 0.4303
3 Pb 0.5164 0.1470 0.8202
4 Pb 0.7293 0.7293 0.4303
5 Pb 0.5164 0.5164 0.8202
6 Pb 0.1470 0.5164 0.8202
7 Pb 0.5000 0.5000 0.5000
8 Pb 0.2707 0.8889 0.5697
9 Pb 0.8889 0.2707 0.5697
10 Pb 0.2707 0.2707 0.5697
11 Pb 0.1111 0.7293 0.4303
12 Pb 0.4836 0.4836 0.1798
13 Pb 0.8530 0.4836 0.1798
14 Tl 0.2632 0.2632 0.2105
15 Tl 0.7368 0.7368 0.7895

Below is a geometry-optimized YEr2NpAs4 structure, with properties calculated at the PBE level.

Properties
- calculated total energy (eV per cell) = -57.61
- V (Å³/atom) = 24.30
- total magnetic moment (μB/f.u.) = 3.78
- DFT formation energy (meV per atom) = -1310

Cell lengths 4.0923, 7.0937, 7.0972 Å; angles 70.68, 90.00, 90.00 degrees
Each line ends with the local moment (μB).
Fractional coordinates of all 8 atoms:
1 As 0.5000 0.7511 0.2471  -0.04
2 As 0.0000 0.2488 0.2492  -0.06
3 As 0.5000 0.2489 0.7529  -0.04
4 As 0.0000 0.7512 0.7508  -0.06
5 Er 0.0000 0.0000 0.0000  0.02
6 Er 0.5000 0.0000 0.5000  0.00
7 Np 0.5000 0.5000 0.0000  3.66
8 Y 0.0000 0.5000 0.5000  0.03

Below is a geometry-optimized TbPmGa2Pd2 structure, with properties calculated at the PBE level.

Properties
- calculated total energy (eV per cell) = -30.85
- V (Å³/atom) = 20.73
- total magnetic moment (μB/f.u.) = 0.00
- DFT formation energy (meV per atom) = -839

Cell lengths 4.5292, 4.5292, 7.0022 Å; angles 90.00, 90.00, 120.00 degrees
Fractional coordinates of all 6 atoms:
1 Ga 0.3333 0.6667 0.2616
2 Ga 0.6667 0.3333 0.7384
3 Pd 0.3333 0.6667 0.7357
4 Pd 0.6667 0.3333 0.2643
5 Tb 0.0000 0.0000 0.5000
6 Pm 0.0000 0.0000 0.0000

Below is a geometry-optimized YHoTh2 structure, with properties calculated at the PBE level.

Properties
- calculated total energy (eV per cell) = -25.75
- distance to the lowest polymorph of the same formula (meV/atom) = 2
- V (Å³/atom) = 31.80
- total magnetic moment (μB/f.u.) = 0.00
- DFT formation energy (meV per atom) = 34

Cell lengths 3.5731, 3.5731, 11.6881 Å; angles 81.21, 81.21, 60.00 degrees
Fractional coordinates of all 4 atoms:
1 Y 0.5000 0.5000 0.5000
2 Th 0.7493 0.7493 0.7520
3 Th 0.2507 0.2507 0.2480
4 Ho 0.0000 0.0000 0.0000